SbPb3 | the Alexandria database | GGA-PBEsol | optimized geometry; total DFT energy (no corrections) = -4.106 eV per atom; energy relative to the elements, uncorrected = 0.032 eV per atom; calculated volume = 116.8 Å³ per cell; SG = Immm (71)
1.0
-0.565 -4.057 0.763
4.569 -1.053 -2.211
0.443 3.115 5.511
Sb Pb
1 3
direct
0.000 0.500 0.000 Sb
0.269 0.269 0.539 Pb
0.500 0.000 0.000 Pb
0.731 0.731 0.461 Pb

BaMg2Al | the Alexandria database | GGA-PBEsol | optimized geometry; total DFT energy (no corrections) = -2.447 eV per atom; ΔH_f (0 K) = -0.03 eV per atom; calculated volume = 107.9 Å³ per cell; SG = F-43m (216)
1.0
-1.303 -5.178 -0.159
1.278 -2.946 -4.270
3.812 -3.726 0.372
Al Ba Mg
1 1 2
direct
0.500 0.500 0.500 Al
0.750 0.750 0.750 Ba
0.250 0.250 0.250 Mg
0.000 0.000 0.000 Mg